The following is a DFT calculation (GGA-PBE) of an optimized crystal structure of Nd3Ga2Pt.

Calculated values
Space-group type = Pnma (62)
Formation enthalpy at 0 K = -0.7382 eV/atom
DOS(E_F) = 23.5 states/eV/cell
Crystal system = orthorhombic

Cell lengths 4.443, 11.577, 12.212 Å; angles 90.00, 90.00, 90.00 degrees
Atoms (fractional coordinates):
Nd 0.250 0.375 0.049
Nd 0.750 0.625 0.951
Nd 0.750 0.875 0.451
Nd 0.250 0.125 0.549
Nd 0.250 0.700 0.227
Nd 0.750 0.300 0.773
Nd 0.750 0.200 0.273
Nd 0.250 0.800 0.727
Nd 0.250 0.443 0.382
Nd 0.750 0.557 0.618
Nd 0.750 0.943 0.118
Nd 0.250 0.057 0.882
Ga 0.250 0.696 0.487
Ga 0.750 0.304 0.513
Ga 0.750 0.196 0.013
Ga 0.250 0.804 0.987
Ga 0.250 0.994 0.308
Ga 0.750 0.006 0.692
Ga 0.750 0.494 0.192
Ga 0.250 0.506 0.808
Pt 0.250 0.124 0.124
Pt 0.750 0.876 0.876
Pt 0.750 0.624 0.376
Pt 0.250 0.376 0.624


The following is a DFT calculation (GGA-PBE) of an optimized crystal structure of Nd3Ga4Pt2.

Calculated values
Energy above the lowest structure with this stoichiometry = 0.000 eV per atom
Space-group type = C2/m (12)
Formation enthalpy at 0 K = -0.9038 eV/atom
DOS(E_F) = 3.8 states/eV/cell
Crystal system = monoclinic

Cell lengths 4.421, 5.947, 8.704 Å; angles 69.76, 75.29, 68.18 degrees
Atoms (fractional coordinates):
Nd 0.321 0.713 0.645
Nd 0.000 0.000 0.000
Nd 0.679 0.287 0.355
Ga 0.256 0.405 0.084
Ga 0.744 0.595 0.916
Ga 0.021 0.316 0.642
Ga 0.979 0.684 0.358
Pt 0.397 0.936 0.270
Pt 0.603 0.064 0.730


The following is a DFT calculation (GGA-PBE) of an optimized crystal structure of NdGa3Pt2.

Calculated values
Space-group type = C2/m (12)
Formation enthalpy at 0 K = -0.8443 eV/atom
DOS(E_F) = 8.3 states/eV/cell
Crystal system = monoclinic

Cell lengths 4.203, 8.648, 10.063 Å; angles 105.20, 90.00, 104.06 degrees
Atoms (fractional coordinates):
Nd 0.155 0.309 0.704
Nd 0.845 0.691 0.296
Nd 0.000 0.000 0.000
Ga 0.045 0.089 0.361
Ga 0.955 0.911 0.639
Ga 0.218 0.436 0.380
Ga 0.782 0.564 0.620
Ga 0.633 0.265 0.190
Ga 0.367 0.735 0.810
Ga 0.500 0.000 0.500
Ga 0.342 0.683 0.053
Ga 0.658 0.317 0.947
Pt 0.203 0.406 0.112
Pt 0.797 0.594 0.888
Pt 0.483 0.966 0.224
Pt 0.517 0.034 0.776
Pt 0.357 0.715 0.552
Pt 0.643 0.285 0.448


The following is a DFT calculation (GGA-PBE) of an optimized crystal structure of NdGa2Pt3.

Calculated values
Space-group type = P6/mmm (191)
Formation enthalpy at 0 K = -0.9099 eV/atom
DOS(E_F) = 2.8 states/eV/cell
Crystal system = hexagonal

Cell lengths 4.038, 5.620, 5.620 Å; angles 120.00, 90.00, 90.00 degrees
Atoms (fractional coordinates):
Nd 0.000 0.000 0.000
Ga 0.000 0.667 0.333
Ga 0.000 0.333 0.667
Pt 0.500 0.500 0.500
Pt 0.500 0.500 0.000
Pt 0.500 0.000 0.500


The following is a DFT calculation (GGA-PBE) of an optimized crystal structure of NdGa2Pt3.

Calculated values
Space-group type = Cmcm (63)
Formation enthalpy at 0 K = -0.7527 eV/atom
DOS(E_F) = 5.9 states/eV/cell
Crystal system = orthorhombic

Cell lengths 5.508, 6.877, 6.877 Å; angles 112.02, 90.00, 90.00 degrees
Atoms (fractional coordinates):
Nd 0.750 0.315 0.685
Nd 0.250 0.685 0.315
Ga 0.000 0.814 0.814
Ga 0.500 0.814 0.814
Ga 0.000 0.186 0.186
Ga 0.500 0.186 0.186
Pt 0.250 0.139 0.861
Pt 0.250 0.526 0.848
Pt 0.750 0.848 0.526
Pt 0.250 0.152 0.474
Pt 0.750 0.474 0.152
Pt 0.750 0.861 0.139


The following is a DFT calculation (GGA-PBE) of an optimized crystal structure of Nd2Ga12Pt.

Calculated values
Space-group type = P4/nbm (125)
Formation enthalpy at 0 K = -0.4546 eV/atom
DOS(E_F) = 10.8 states/eV/cell
Crystal system = tetragonal

Cell lengths 6.179, 6.179, 15.481 Å; angles 90.00, 90.00, 90.00 degrees
Atoms (fractional coordinates):
Nd 0.500 0.000 0.243
Nd 0.000 0.500 0.243
Nd 0.000 0.500 0.757
Nd 0.500 0.000 0.757
Ga 0.500 0.500 0.812
Ga 0.000 0.000 0.812
Ga 0.750 0.750 0.911
Ga 0.250 0.750 0.911
Ga 0.000 0.000 0.347
Ga 0.250 0.750 0.089
Ga 0.832 0.332 0.569
Ga 0.500 0.500 0.347
Ga 0.250 0.250 0.911
Ga 0.750 0.750 0.089
Ga 0.332 0.168 0.569
Ga 0.668 0.168 0.431
Ga 0.000 0.000 0.653
Ga 0.168 0.332 0.431
Ga 0.250 0.250 0.089
Ga 0.832 0.668 0.431
Ga 0.668 0.832 0.569
Ga 0.000 0.000 0.188
Ga 0.168 0.668 0.569
Ga 0.500 0.500 0.653
Ga 0.750 0.250 0.911
Ga 0.500 0.500 0.188
Ga 0.332 0.832 0.431
Ga 0.750 0.250 0.089
Pt 0.500 0.000 0.000
Pt 0.000 0.500 0.000


The following is a DFT calculation (GGA-PBE) of an optimized crystal structure of NdGa2Pt8.

Calculated values
Space-group type = P4/mmm (123)
Formation enthalpy at 0 K = -0.2606 eV/atom
DOS(E_F) = 6.9 states/eV/cell
Crystal system = tetragonal

Cell lengths 5.356, 5.356, 8.183 Å; angles 90.00, 90.00, 90.00 degrees
Atoms (fractional coordinates):
Nd 0.500 0.500 0.500
Ga 0.500 0.000 0.000
Ga 0.000 0.500 0.000
Pt 0.753 0.753 0.217
Pt 0.753 0.247 0.783
Pt 0.753 0.753 0.783
Pt 0.753 0.247 0.217
Pt 0.247 0.753 0.217
Pt 0.247 0.753 0.783
Pt 0.247 0.247 0.217
Pt 0.247 0.247 0.783


The following is a DFT calculation (GGA-PBE) of an optimized crystal structure of Nd2PuGa3Pt4.

Calculated values
Space-group type = P-4m2 (115)
Formation enthalpy at 0 K = -0.8812 eV/atom
DOS(E_F) = 11.7 states/eV/cell
Crystal system = tetragonal

Cell lengths 4.329, 4.329, 11.165 Å; angles 90.00, 90.00, 90.00 degrees
Atoms (fractional coordinates):
Nd 0.500 0.000 0.228
Nd 0.000 0.500 0.772
Pu 0.500 0.500 0.500
Ga 0.000 0.000 0.500
Ga 0.500 0.000 0.879
Ga 0.000 0.500 0.121
Pt 0.500 0.500 0.000
Pt 0.000 0.000 0.000
Pt 0.500 0.000 0.656
Pt 0.000 0.500 0.344


The following is a DFT calculation (GGA-PBE) of an optimized crystal structure of Nd2PuGa4Pt3.

Calculated values
Space-group type = P-4m2 (115)
Formation enthalpy at 0 K = -0.7641 eV/atom
DOS(E_F) = 15.2 states/eV/cell
Crystal system = tetragonal

Cell lengths 4.278, 4.278, 11.619 Å; angles 90.00, 90.00, 90.00 degrees
Atoms (fractional coordinates):
Nd 0.500 0.000 0.225
Nd 0.000 0.500 0.775
Pu 0.500 0.500 0.500
Ga 0.500 0.500 0.000
Ga 0.000 0.000 0.000
Ga 0.500 0.000 0.670
Ga 0.000 0.500 0.330
Pt 0.000 0.000 0.500
Pt 0.500 0.000 0.880
Pt 0.000 0.500 0.120


The following is a DFT calculation (GGA-PBE) of an optimized crystal structure of NdPuGaPt.

Calculated values
Space-group type = F-43m (216)
Formation enthalpy at 0 K = -0.5644 eV/atom
DOS(E_F) = 10.0 states/eV/cell
Crystal system = cubic

Cell lengths 5.107, 5.107, 5.107 Å; angles 60.00, 60.00, 60.00 degrees
Atoms (fractional coordinates):
Nd 0.750 0.750 0.750
Ga 0.000 0.000 0.000
Pt 0.500 0.500 0.500
Pu 0.250 0.250 0.250


The following is a DFT calculation (GGA-PBE) of an optimized crystal structure of Nd2Ga4PtRh3.

Calculated values
Space-group type = P-4m2 (115)
Formation enthalpy at 0 K = -0.8395 eV/atom
DOS(E_F) = 4.4 states/eV/cell
Crystal system = tetragonal

Cell lengths 4.283, 4.283, 10.278 Å; angles 90.00, 90.00, 90.00 degrees
Atoms (fractional coordinates):
Nd 0.500 0.000 0.255
Nd 0.000 0.500 0.745
Ga 0.500 0.500 0.000
Ga 0.000 0.000 0.000
Ga 0.500 0.000 0.631
Ga 0.000 0.500 0.369
Pt 0.500 0.500 0.500
Rh 0.000 0.000 0.500
Rh 0.500 0.000 0.872
Rh 0.000 0.500 0.128


The following is a DFT calculation (GGA-PBE) of an optimized crystal structure of NdGa2Pt2Rh.

Calculated values
Space-group type = I4/mmm (139)
Formation enthalpy at 0 K = -0.0792 eV/atom
DOS(E_F) = 4.7 states/eV/cell
Crystal system = tetragonal

Cell lengths 3.905, 3.905, 10.011 Å; angles 101.25, 101.25, 90.00 degrees
Atoms (fractional coordinates):
Nd 0.500 0.500 0.000
Ga 0.337 0.337 0.674
Ga 0.663 0.663 0.326
Pt 0.250 0.750 0.500
Pt 0.750 0.250 0.500
Rh 0.000 0.000 0.000


The following is a DFT calculation (GGA-PBE) of an optimized crystal structure of Nd2Ga3Pt4Rh.

Calculated values
Space-group type = P-4m2 (115)
Formation enthalpy at 0 K = -0.8727 eV/atom
DOS(E_F) = 6.5 states/eV/cell
Crystal system = tetragonal

Cell lengths 4.107, 4.107, 11.367 Å; angles 90.00, 90.00, 90.00 degrees
Atoms (fractional coordinates):
Nd 0.500 0.000 0.256
Nd 0.000 0.500 0.744
Ga 0.000 0.000 0.500
Ga 0.500 0.000 0.869
Ga 0.000 0.500 0.131
Pt 0.500 0.500 0.000
Pt 0.000 0.000 0.000
Pt 0.500 0.000 0.651
Pt 0.000 0.500 0.349
Rh 0.500 0.500 0.500


The following is a DFT calculation (GGA-PBE) of an optimized crystal structure of NdGa4PtRh2.

Calculated values
Space-group type = R-3m (166)
Formation enthalpy at 0 K = -0.6705 eV/atom
DOS(E_F) = 4.5 states/eV/cell
Crystal system = trigonal

Cell lengths 4.279, 4.279, 9.194 Å; angles 76.54, 76.54, 60.00 degrees
Atoms (fractional coordinates):
Nd 0.000 0.000 0.000
Ga 0.400 0.400 0.800
Ga 0.871 0.871 0.386
Ga 0.129 0.129 0.614
Ga 0.600 0.600 0.200
Pt 0.500 0.500 0.500
Rh 0.769 0.769 0.692
Rh 0.231 0.231 0.308


The following is a DFT calculation (GGA-PBE) of an optimized crystal structure of NdGa2RuPt.

Calculated values
Space-group type = I-4m2 (119)
Formation enthalpy at 0 K = -0.7130 eV/atom
DOS(E_F) = 2.4 states/eV/cell
Crystal system = tetragonal

Cell lengths 4.297, 4.297, 5.950 Å; angles 111.16, 111.16, 90.00 degrees
Atoms (fractional coordinates):
Nd 0.000 0.000 0.000
Ga 0.625 0.625 0.251
Ga 0.375 0.375 0.749
Ru 0.750 0.250 0.500
Pt 0.250 0.750 0.500


The following is a DFT calculation (GGA-PBE) of an optimized crystal structure of Nd2Ga4RuPt3.

Calculated values
Space-group type = P-4m2 (115)
Formation enthalpy at 0 K = -0.8717 eV/atom
DOS(E_F) = 4.9 states/eV/cell
Crystal system = tetragonal

Cell lengths 4.346, 4.346, 10.184 Å; angles 90.00, 90.00, 90.00 degrees
Atoms (fractional coordinates):
Nd 0.500 0.000 0.260
Nd 0.000 0.500 0.740
Ga 0.500 0.500 0.000
Ga 0.000 0.000 0.000
Ga 0.500 0.000 0.625
Ga 0.000 0.500 0.375
Ru 0.500 0.500 0.500
Pt 0.000 0.000 0.500
Pt 0.500 0.000 0.869
Pt 0.000 0.500 0.131


The following is a DFT calculation (GGA-PBE) of an optimized crystal structure of NdGa4RuPt2.

Calculated values
Space-group type = R-3m (166)
Formation enthalpy at 0 K = -0.6576 eV/atom
DOS(E_F) = 3.9 states/eV/cell
Crystal system = trigonal

Cell lengths 4.276, 4.276, 9.220 Å; angles 76.59, 76.59, 60.00 degrees
Atoms (fractional coordinates):
Nd 0.000 0.000 0.000
Ga 0.401 0.401 0.797
Ga 0.867 0.867 0.400
Ga 0.133 0.133 0.600
Ga 0.599 0.599 0.203
Ru 0.500 0.500 0.500
Pt 0.764 0.764 0.708
Pt 0.236 0.236 0.292


The following is a DFT calculation (GGA-PBE) of an optimized crystal structure of Nd2Ga3SbPt4.

Calculated values
E_form (uncorrected) = -892.2 kJ/mol of formula units
Space-group type = P-4m2 (115)
DOS(E_F) = 4.5 states/eV/cell
Crystal system = tetragonal

Cell lengths 4.369, 4.369, 10.607 Å; angles 90.00, 90.00, 90.00 degrees
Atoms (fractional coordinates):
Nd 0.500 0.000 0.240
Nd 0.000 0.500 0.760
Ga 0.000 0.000 0.500
Ga 0.500 0.000 0.875
Ga 0.000 0.500 0.125
Sb 0.500 0.500 0.500
Pt 0.500 0.500 0.000
Pt 0.000 0.000 0.000
Pt 0.500 0.000 0.642
Pt 0.000 0.500 0.358


The following is a DFT calculation (GGA-PBE) of an optimized crystal structure of Nd2GaSbPt6.

Calculated values
E_form (uncorrected) = -743.4 kJ/mol of formula units
Space-group type = C2/m (12)
DOS(E_F) = 3.5 states/eV/cell
Crystal system = monoclinic

Cell lengths 8.818, 5.661, 5.661 Å; angles 59.95, 71.36, 90.05 degrees
Atoms (fractional coordinates):
Nd 0.393 0.797 0.405
Nd 0.607 0.203 0.595
Ga 0.500 0.500 0.000
Sb 0.000 0.000 0.000
Pt 0.261 0.752 0.993
Pt 0.739 0.746 0.007
Pt 0.261 0.254 0.491
Pt 0.739 0.248 0.007
Pt 0.261 0.254 0.993
Pt 0.739 0.746 0.509


The following is a DFT calculation (GGA-PBE) of an optimized crystal structure of NdScGa2Pt5.

Calculated values
Space-group type = P4/mmm (123)
Formation enthalpy at 0 K = -0.8015 eV/atom
DOS(E_F) = 5.2 states/eV/cell
Crystal system = tetragonal

Cell lengths 4.173, 4.173, 9.401 Å; angles 90.00, 90.00, 90.00 degrees
Atoms (fractional coordinates):
Nd 0.000 0.000 0.500
Sc 0.000 0.000 0.000
Ga 0.500 0.500 0.127
Ga 0.500 0.500 0.873
Pt 0.000 0.500 0.268
Pt 0.500 0.000 0.268
Pt 0.000 0.500 0.732
Pt 0.500 0.000 0.732
Pt 0.500 0.500 0.500